# SbHPd2Au

A geometry-optimized SbHPd2Au structure (PBE, the Alexandria database).

Final energy in eV/cell: -21.5
D(E_F) in states/eV per cell: 1.3
Space-group type: No. 123
V in Å³ per cell: 74

Lattice parameters (Å, degrees): 4.296 4.296 4.037 90.00 90.00 90.00
Fractional coordinates of all 5 atoms:
Sb1 0.000 0.000 0.000
H1 0.500 0.500 0.500
Pd1 0.000 0.500 0.500
Pd2 0.500 0.000 0.500
Au1 0.500 0.500 0.000

=====

# HfGaAg

A geometry-optimized HfGaAg structure (PBE, the Alexandria database).

Final energy in eV/cell: -33.1
Formation energy from the elements in eV/atom: -0.239
D(E_F) in states/eV per cell: 3.7
Space-group type: No. 11
V in Å³ per cell: 111

Lattice parameters (Å, degrees): 4.327 3.296 7.785 90.00 90.15 90.00
Fractional coordinates of all 6 atoms:
Hf1 0.250 0.250 0.116
Hf2 0.750 0.750 0.884
Ga1 0.250 0.250 0.757
Ga2 0.750 0.750 0.243
Ag1 0.250 0.750 0.454
Ag2 0.750 0.250 0.546

=====

# Ti2CdGaH

A geometry-optimized Ti2CdGaH structure (PBE, the Alexandria database).

Final energy in eV/cell: -24.0
Energy relative to the lowest polymorph listed for this composition in meV/atom: 0
D(E_F) in states/eV per cell: 3.4
Space-group type: No. 123
V in Å³ per cell: 71

Lattice parameters (Å, degrees): 3.997 3.997 4.422 90.00 90.00 90.00
Fractional coordinates of all 5 atoms:
Ti1 0.000 0.500 0.000
Ti2 0.500 0.000 0.000
Cd1 0.000 0.000 0.500
Ga1 0.500 0.500 0.500
H1 0.000 0.000 0.000

=====

# Ag3Ir

A geometry-optimized Ag3Ir structure (PBE, the Alexandria database).

Final energy in eV/cell: -15.5
Formation energy from the elements in eV/atom: 0.484
D(E_F) in states/eV per cell: 5.8
Space-group type: No. 225
V in Å³ per cell: 68

Lattice parameters (Å, degrees): 4.579 4.579 4.579 60.00 60.00 60.00
Fractional coordinates of all 4 atoms:
Ag1 0.000 0.000 0.000
Ag2 0.250 0.250 0.250
Ag3 0.750 0.750 0.750
Ir1 0.500 0.500 0.500

=====

# La2Pm5Th2

A geometry-optimized La2Pm5Th2 structure (PBE, the Alexandria database).

Final energy in eV/cell: -47.6
Formation energy from the elements in eV/atom: 0.093
D(E_F) in states/eV per cell: 14.4
Space-group type: No. 2
V in Å³ per cell: 315

Lattice parameters (Å, degrees): 6.168 6.913 8.786 78.74 69.60 63.91
Fractional coordinates of all 9 atoms:
La1 0.175 0.429 0.137
La2 0.825 0.571 0.863
Pm1 0.000 0.000 0.000
Pm2 0.408 0.688 0.643
Pm3 0.496 0.865 0.232
Pm4 0.504 0.135 0.768
Pm5 0.592 0.312 0.357
Th1 0.042 0.224 0.548
Th2 0.958 0.776 0.452

=====

# TaVNi2

A geometry-optimized TaVNi2 structure (PBE, the Alexandria database).

Final energy in eV/cell: -33.2
Formation energy from the elements in eV/atom: -0.174
Energy relative to the lowest polymorph listed for this composition in meV/atom: 0
D(E_F) in states/eV per cell: 3.1
Space-group type: No. 123
V in Å³ per cell: 53

Lattice parameters (Å, degrees): 3.732 3.732 3.782 90.00 90.00 90.00
Fractional coordinates of all 4 atoms:
Ta1 0.000 0.000 0.000
V1 0.500 0.500 0.000
Ni1 0.000 0.500 0.500
Ni2 0.500 0.000 0.500

=====

# Be9NbNi2

A geometry-optimized Be9NbNi2 structure (PBE, the Alexandria database).

Final energy in eV/cell: -57.9
Formation energy from the elements in eV/atom: -0.227
D(E_F) in states/eV per cell: 7.2
Space-group type: No. 166
V in Å³ per cell: 108

Lattice parameters (Å, degrees): 7.202 7.202 7.202 34.76 34.76 34.76
Fractional coordinates of all 12 atoms:
Be1 0.000 0.000 0.000
Be2 0.088 0.088 0.582
Be3 0.088 0.582 0.088
Be4 0.167 0.167 0.167
Be5 0.418 0.912 0.912
Be6 0.582 0.088 0.088
Be7 0.833 0.833 0.833
Be8 0.912 0.418 0.912
Be9 0.912 0.912 0.418
Nb1 0.500 0.500 0.500
Ni1 0.358 0.358 0.358
Ni2 0.642 0.642 0.642

=====

# Ac2LaPr5

A geometry-optimized Ac2LaPr5 structure (PBE, the Alexandria database).

Final energy in eV/cell: -73.8
Formation energy from the elements in eV/atom: 0.018
D(E_F) in states/eV per cell: 28.8
Space-group type: No. 55
V in Å³ per cell: 612

Lattice parameters (Å, degrees): 7.544 15.089 5.380 90.00 90.00 90.00
Fractional coordinates of all 16 atoms:
Ac1 0.250 0.125 0.000
Ac2 0.250 0.625 0.000
Ac3 0.750 0.375 0.000
Ac4 0.750 0.875 0.000
La1 0.000 0.000 0.500
La2 0.500 0.500 0.500
Pr1 0.000 0.500 0.500
Pr2 0.001 0.251 0.500
Pr3 0.249 0.875 0.000
Pr4 0.251 0.375 0.000
Pr5 0.499 0.751 0.500
Pr6 0.500 0.000 0.500
Pr7 0.501 0.249 0.500
Pr8 0.749 0.625 0.000
Pr9 0.751 0.125 0.000
Pr10 0.999 0.749 0.500

=====

# In5Bi3Pb2

A geometry-optimized In5Bi3Pb2 structure (PBE, the Alexandria database).

Final energy in eV/cell: -64.5
Formation energy from the elements in eV/atom: 0.050
D(E_F) in states/eV per cell: 8.5
Space-group type: No. 9
V in Å³ per cell: 639

Lattice parameters (Å, degrees): 13.604 13.604 8.514 93.36 93.36 155.10
Fractional coordinates of all 20 atoms:
In1 0.053 0.947 0.500
In2 0.197 0.953 0.819
In3 0.268 0.666 0.279
In4 0.343 0.772 0.664
In5 0.459 0.664 0.732
In6 0.664 0.459 0.232
In7 0.666 0.268 0.779
In8 0.772 0.343 0.164
In9 0.947 0.053 0.000
In10 0.953 0.197 0.319
Bi1 0.083 0.966 0.122
Bi2 0.231 0.775 0.978
Bi3 0.446 0.635 0.115
Bi4 0.635 0.446 0.615
Bi5 0.775 0.231 0.478
Bi6 0.966 0.083 0.622
Pb1 0.292 0.951 0.360
Pb2 0.445 0.484 0.407
Pb3 0.484 0.445 0.907
Pb4 0.951 0.292 0.860

=====

# CrCoTc2

A geometry-optimized CrCoTc2 structure (PBE, the Alexandria database).

Final energy in eV/cell: -36.7
Formation energy from the elements in eV/atom: 0.183
Energy relative to the lowest polymorph listed for this composition in meV/atom: 120
D(E_F) in states/eV per cell: 3.8
Space-group type: No. 216
V in Å³ per cell: 54

Lattice parameters (Å, degrees): 4.232 4.232 4.232 60.00 60.00 60.00
Fractional coordinates of all 4 atoms:
Cr1 0.000 0.000 0.000
Co1 0.750 0.750 0.750
Tc1 0.250 0.250 0.250
Tc2 0.500 0.500 0.500

=====

# ScAsSe2S

A geometry-optimized ScAsSe2S structure (PBE, the Alexandria database).

ΔE_f (raw) in meV per atom: 258
Final energy in eV/cell: -20.8
Energy relative to the lowest polymorph listed for this composition in meV/atom: 216
D(E_F) in states/eV per cell: 5.9
Space-group type: No. 123
V in Å³ per cell: 136

Lattice parameters (Å, degrees): 5.024 5.024 5.371 90.00 90.00 90.00
Fractional coordinates of all 5 atoms:
Sc1 0.000 0.000 0.000
As1 0.000 0.000 0.500
Se1 0.000 0.500 0.000
Se2 0.500 0.000 0.000
S1 0.500 0.500 0.500

=====

# ZnRePt2

A geometry-optimized ZnRePt2 structure (PBE, the Alexandria database).

Final energy in eV/cell: -25.8
Formation energy from the elements in eV/atom: 0.003
D(E_F) in states/eV per cell: 2.8
Space-group type: No. 119
V in Å³ per cell: 60

Lattice parameters (Å, degrees): 4.740 4.740 4.740 130.72 130.72 72.26
Fractional coordinates of all 4 atoms:
Zn1 0.000 0.000 0.000
Re1 0.750 0.250 0.500
Pt1 0.250 0.750 0.500
Pt2 0.500 0.500 0.000

=====

What is the D(E_F) in the eleventh record?
5.9 states/eV per cell

=====

The lowest V belongs to which entry?
TaVNi2